[1]
This record from Alexandria describes Re2MoRu after structural relaxation. The functional is GGA-PBE.

The value obtained for the total energy is -10.9639 eV/atom. The formation enthalpy at 0 K is 27.7 kJ/mol of atoms. The space group is R3m. The value obtained for the density of states at the Fermi level is 2.96 states/eV/cell.

Cell: 4.3768 4.3768 4.5082 Å, 60.96 60.96 60.00°
With the nearest neighbours (Å) after each atom.
Positions (direct):
Re1 0.0234 0.0234 0.9297  4 Re 2.55-2.79, 3 Ru 2.56
Re2 0.2512 0.2512 0.2463  4 Re 2.55-2.79, 4 Mo 2.70-2.79
Mo1 0.5007 0.5007 0.4978  4 Ru 2.51-2.81, 4 Re 2.70-2.79
Ru1 0.7246 0.7246 0.8261  4 Mo 2.51-2.81, 3 Re 2.56

[2]
This record from Alexandria describes ReMoRu2 after structural relaxation. The functional is GGA-PBE.

The value obtained for the total energy is -10.3177 eV/atom. The formation enthalpy at 0 K is 13.5 kJ/mol of atoms. The space group is Pm. The value obtained for the density of states at the Fermi level is 4.10 states/eV/cell.

Cell: 4.2407 2.7636 5.2318 Å, 76.61 90.00 90.00°
With the nearest neighbours (Å) after each atom.
Positions (direct):
Mo1 0.0000 0.6708 0.4809  2 Re 2.58, 7 Ru 2.66-2.83, 2 Mo 2.76
Re1 0.5000 0.5739 0.7702  2 Mo 2.58, 7 Ru 2.65-2.82, 2 Re 2.76
Ru1 0.0000 0.9791 0.9598  3 Mo 2.66-2.83, 4 Re 2.69-2.73, 4 Ru 2.76-2.97
Ru2 0.5000 0.2762 0.2890  3 Re 2.65-2.82, 4 Mo 2.68-2.74, 4 Ru 2.76-2.97

[3]
This record from Alexandria describes ReMoRu2 after structural relaxation. The functional is GGA-PBE.

The value obtained for the total energy is -10.3470 eV/atom. The formation enthalpy at 0 K is 10.7 kJ/mol of atoms. The space group is R3m. The value obtained for the density of states at the Fermi level is 2.75 states/eV/cell.

Cell: 9.2012 9.2012 9.2012 Å, 17.15 17.15 17.15°
With the nearest neighbours (Å) after each atom.
Positions (direct):
Mo1 0.5026 0.5026 0.5026  3 Ru 2.71, 6 Mo 2.74, 3 Re 2.91
Re1 0.7462 0.7462 0.7462  3 Ru 2.65, 6 Re 2.74, 3 Mo 2.91
Ru1 0.0013 0.0013 0.0013  3 Re 2.65, 9 Ru 2.74-2.80
Ru2 0.2499 0.2499 0.2499  3 Mo 2.71, 9 Ru 2.74-2.80

[4]
This record from Alexandria describes ReMoRu2 after structural relaxation. The functional is GGA-PBE.

The value obtained for the total energy is -10.1435 eV/atom. The formation enthalpy at 0 K is 30.3 kJ/mol of atoms. The space group is Imm2. The value obtained for the density of states at the Fermi level is 4.74 states/eV/cell.

Cell: 5.2398 5.2398 5.2398 Å, 146.34 130.05 61.59°
With the nearest neighbours (Å) after each atom.
Positions (direct):
Mo1 0.4896 0.4896 0.0000  2 Re 2.53, 6 Ru 2.64-2.69
Re1 0.2648 0.7648 0.5000  2 Mo 2.53, 6 Ru 2.70
Ru1 0.0163 0.0163 0.0000  4 Mo 2.69, 2 Re 2.70, 4 Ru 2.93-3.00
Ru2 0.7292 0.2292 0.5000  2 Mo 2.64, 4 Re 2.70, 2 Ru 2.93

[5]
This record from Alexandria describes Re2MoRu after structural relaxation. The functional is GGA-PBE.

The value obtained for the total energy is -11.1741 eV/atom. The formation enthalpy at 0 K is 7.4 kJ/mol of atoms. The space group is I-4m2. The value obtained for the density of states at the Fermi level is 4.29 states/eV/cell.

Cell: 4.7887 4.7887 4.7887 Å, 131.77 131.77 70.60°
With the nearest neighbours (Å) after each atom.
Positions (direct):
Mo1 0.7500 0.2500 0.5000  8 Re 2.77, 4 Ru 2.77
Re1 0.0000 0.0000 0.0000  4 Mo 2.77, 4 Re 2.77, 4 Ru 2.77
Re2 0.2500 0.7500 0.5000  4 Re 2.77, 4 Ru 2.77, 4 Mo 2.77
Ru1 0.5000 0.5000 0.0000  8 Re 2.77, 4 Mo 2.77

[6]
This record from Alexandria describes ReMoRu2 after structural relaxation. The functional is GGA-PBE.

The value obtained for the total energy is -10.1732 eV/atom. The formation enthalpy at 0 K is 27.4 kJ/mol of atoms. The space group is P4mm. The value obtained for the density of states at the Fermi level is 4.09 states/eV/cell.

Cell: 3.2181 3.2181 5.8096 Å, 90.00 90.00 90.00°
With the nearest neighbours (Å) after each atom.
Positions (direct):
Mo1 0.0000 0.0000 0.4939  5 Ru 2.66-2.79, 4 Re 2.80
Re1 0.5000 0.5000 0.7745  5 Ru 2.56-2.80, 4 Mo 2.80
Ru1 0.0000 0.0000 0.9745  4 Re 2.56, 1 Mo 2.79, 4 Ru 2.81
Ru2 0.5000 0.5000 0.2572  4 Mo 2.66, 1 Re 2.80, 4 Ru 2.81

Question: Which of these has the highest formation enthalpy at 0 K?
Answer: number 4